# 1
Density functional theory data (meta-GGA SCAN) for a crystal of RbBaIn3 relaxed with PBEsol.

The spin magnetization comes out at 0.00 μB/f.u. For the formation energy, the calculation gives 0.46 eV/atom. Its space group is Pm-3m (221).

Structure (extended XYZ):
```
5
Lattice="5.999 0.000 0.000 0.000 5.999 0.000 0.000 0.000 5.999" Properties=species:S:1:pos:R:3 pbc="T T T"
Rb 0.000 0.000 0.000
Ba 3.000 3.000 3.000
In 0.000 0.000 3.000
In 0.000 3.000 0.000
In 3.000 0.000 0.000
```

# 2
Density functional theory data (meta-GGA SCAN) for a crystal of BaIn2Re relaxed with PBEsol.

The spin magnetization comes out at 0.00 μB/f.u. For the formation energy, the calculation gives 0.45 eV/atom. The calculation puts the energy relative to the lowest polymorph listed for this composition at 0.000 eV per atom. Its space group is Cm (8).

Structure (extended XYZ):
```
4
Lattice="4.634 -1.511 0.000 4.634 1.511 0.000 -4.101 0.000 7.047" Properties=species:S:1:pos:R:3 pbc="T T T"
Ba 0.000 0.000 0.000
In -1.609 0.000 4.760
In 2.472 0.000 2.183
Re 5.065 0.000 3.408
```

# 3
Density functional theory data (meta-GGA SCAN) for a crystal of BaInRe relaxed with PBEsol.

The spin magnetization comes out at 0.00 μB/f.u. For the formation energy, the calculation gives 0.71 eV/atom. Its space group is I4mm (107).

Structure (extended XYZ):
```
3
Lattice="-1.817 1.817 5.869 1.817 -1.817 5.869 1.817 1.817 -5.869" Properties=species:S:1:pos:R:3 pbc="T T T"
Ba 0.000 0.000 0.000
In 0.000 0.000 8.484
Re 0.000 0.000 3.452
```

# 4
Density functional theory data (meta-GGA SCAN) for a crystal of BaIn2Re relaxed with PBEsol.

The spin magnetization comes out at 0.66 μB/f.u. For the formation energy, the calculation gives 0.72 eV/atom. The calculation puts the energy relative to the lowest polymorph listed for this composition at 0.263 eV per atom. Its space group is I4/mmm (139).

Structure (extended XYZ):
```
4
Lattice="-2.372 2.372 4.161 2.372 -2.372 4.161 2.372 2.372 -4.161" Properties=species:S:1:pos:R:3 pbc="T T T"
Ba 0.000 0.000 0.000
In 2.372 0.000 2.081
In 0.000 2.372 2.081
Re 0.000 0.000 4.161
```